# Th2Zn5Cu4 (GGA-PBE, optimized geometry)
# - calculated density (kg/m3) = 8682
# - calculated volume (Å³/atom) = 18.2
# - E_form (meV/atom) = -129
data_Th2Zn5Cu4
_symmetry_space_group_name_H-M 'C 1 2/m 1'
_symmetry_Int_Tables_number 12
_cell_length_a 12.142
_cell_length_b 5.202
_cell_length_c 8.011
_cell_angle_alpha 90.00
_cell_angle_beta 127.79
_cell_angle_gamma 90.00
loop_
_symmetry_equiv_pos_as_xyz
'x,y,z'
'-x,-y,-z'
'-x,y,-z'
'x,-y,z'
'x+1/2,y+1/2,z'
'-x+1/2,-y+1/2,-z'
'-x+1/2,y+1/2,-z'
'x+1/2,-y+1/2,z'
loop_
_atom_site_label
_atom_site_type_symbol
_atom_site_fract_x
_atom_site_fract_y
_atom_site_fract_z
_atom_site_occupancy
Th1 Th 0.223 0.000 0.273 1
Zn1 Zn 0.000 0.500 0.000 1
Zn2 Zn 0.035 0.251 0.754 1
Cu1 Cu 0.131 0.000 0.563 1
Cu2 Cu 0.235 0.500 0.058 1

***

# ThZn2Cu2 (GGA-PBE, optimized geometry)
# - calculated density (kg/m3) = 9107
# - calculated volume (Å³/atom) = 17.9
# - E_form (meV/atom) = -213
data_ThZn2Cu2
_symmetry_space_group_name_H-M 'F m m m'
_symmetry_Int_Tables_number 69
_symmetry_space_group_name_Hall '-F 2 2'
_cell_length_a 5.609
_cell_length_b 5.626
_cell_length_c 11.323
_cell_angle_alpha 90.00
_cell_angle_beta 90.00
_cell_angle_gamma 90.00
loop_
_atom_site_label
_atom_site_type_symbol
_atom_site_fract_x
_atom_site_fract_y
_atom_site_fract_z
_atom_site_occupancy
Th1 Th 0.000 0.000 0.000 1
Zn1 Zn 0.250 0.250 0.250 1
Cu1 Cu 0.000 0.000 0.391 1

***

# Th2Zn2Cu (GGA-PBE, optimized geometry)
# - calculated density (kg/m3) = 9893
# - calculated volume (Å³/atom) = 22.1
# - E_form (meV/atom) = -197
data_Th2Zn2Cu
_symmetry_space_group_name_H-M 'C 1 2/m 1'
_symmetry_Int_Tables_number 12
_cell_length_a 10.543
_cell_length_b 4.530
_cell_length_c 10.271
_cell_angle_alpha 90.00
_cell_angle_beta 115.69
_cell_angle_gamma 90.00
loop_
_symmetry_equiv_pos_as_xyz
'x,y,z'
'-x,-y,-z'
'-x,y,-z'
'x,-y,z'
'x+1/2,y+1/2,z'
'-x+1/2,-y+1/2,-z'
'-x+1/2,y+1/2,-z'
'x+1/2,-y+1/2,z'
loop_
_atom_site_label
_atom_site_type_symbol
_atom_site_fract_x
_atom_site_fract_y
_atom_site_fract_z
_atom_site_occupancy
Th1 Th 0.021 0.000 0.335 1
Th2 Th 0.185 0.000 0.093 1
Zn1 Zn 0.006 0.500 0.876 1
Zn2 Zn 0.145 0.500 0.564 1
Cu1 Cu 0.232 0.500 0.346 1

***

# ThZn4Cu4 (GGA-PBE, optimized geometry)
# - calculated density (kg/m3) = 8474
# - calculated volume (Å³/atom) = 16.3
# - E_form (meV/atom) = -24
data_ThZn4Cu4
_symmetry_space_group_name_H-M 'I 4/m'
_symmetry_Int_Tables_number 87
_symmetry_space_group_name_Hall '-I 4'
_cell_length_a 8.290
_cell_length_b 8.290
_cell_length_c 4.265
_cell_angle_alpha 90.00
_cell_angle_beta 90.00
_cell_angle_gamma 90.00
loop_
_atom_site_label
_atom_site_type_symbol
_atom_site_fract_x
_atom_site_fract_y
_atom_site_fract_z
_atom_site_occupancy
Th1 Th 0.000 0.000 0.000 1
Zn1 Zn 0.098 0.384 0.000 1
Cu1 Cu 0.135 0.228 0.500 1

***

# Th3Zn4Cu2 (GGA-PBE, optimized geometry)
# - calculated density (kg/m3) = 9607
# - calculated volume (Å³/atom) = 20.8
# - E_form (meV/atom) = -244
data_Th3Zn4Cu2
_symmetry_space_group_name_H-M 'C 1 2/m 1'
_symmetry_Int_Tables_number 12
_cell_length_a 10.594
_cell_length_b 4.522
_cell_length_c 8.583
_cell_angle_alpha 90.00
_cell_angle_beta 114.20
_cell_angle_gamma 90.00
loop_
_symmetry_equiv_pos_as_xyz
'x,y,z'
'-x,-y,-z'
'-x,y,-z'
'x,-y,z'
'x+1/2,y+1/2,z'
'-x+1/2,-y+1/2,-z'
'-x+1/2,y+1/2,-z'
'x+1/2,-y+1/2,z'
loop_
_atom_site_label
_atom_site_type_symbol
_atom_site_fract_x
_atom_site_fract_y
_atom_site_fract_z
_atom_site_occupancy
Th1 Th 0.000 0.000 0.000 1
Th2 Th 0.174 0.500 0.657 1
Zn1 Zn 0.035 0.000 0.370 1
Zn2 Zn 0.231 0.500 0.066 1
Cu1 Cu 0.100 0.500 0.269 1

***

# Th2Zn5Cu (GGA-PBE, optimized geometry)
# - calculated density (kg/m3) = 8997
# - calculated volume (Å³/atom) = 19.7
# - E_form (meV/atom) = -236
data_Th2Zn5Cu
_symmetry_space_group_name_H-M 'C m c m'
_symmetry_Int_Tables_number 63
_symmetry_space_group_name_Hall '-C 2c 2'
_cell_length_a 4.345
_cell_length_b 16.287
_cell_length_c 8.915
_cell_angle_alpha 90.00
_cell_angle_beta 90.00
_cell_angle_gamma 90.00
loop_
_atom_site_label
_atom_site_type_symbol
_atom_site_fract_x
_atom_site_fract_y
_atom_site_fract_z
_atom_site_occupancy
Th1 Th 0.000 0.000 0.000 1
Th2 Th 0.000 0.201 0.250 1
Zn1 Zn 0.000 0.186 0.607 1
Zn2 Zn 0.000 0.352 0.521 1
Zn3 Zn 0.000 0.406 0.250 1
Cu1 Cu 0.000 0.443 0.750 1

***

# ThZrZnCu (GGA-PBE, optimized geometry)
# - calculated density (kg/m3) = 8872
# - calculated volume (Å³/atom) = 21.2
# - E_form (meV/atom) = -70
data_ThZrZnCu
_symmetry_space_group_name_H-M 'F -4 3 m'
_symmetry_Int_Tables_number 216
_symmetry_space_group_name_Hall 'F -4 2 3'
_cell_length_a 6.970
_cell_length_b 6.970
_cell_length_c 6.970
_cell_angle_alpha 90.00
_cell_angle_beta 90.00
_cell_angle_gamma 90.00
loop_
_atom_site_label
_atom_site_type_symbol
_atom_site_fract_x
_atom_site_fract_y
_atom_site_fract_z
_atom_site_occupancy
Th1 Th 0.000 0.000 0.000 1
Zr1 Zr 0.000 0.000 0.500 1
Zn1 Zn 0.250 0.250 0.750 1
Cu1 Cu 0.250 0.250 0.250 1

***

# ThZrCu (GGA-PBE, optimized geometry)
# - calculated density (kg/m3) = 9351
# - calculated volume (Å³/atom) = 22.9
# - E_form (meV/atom) = -32
data_ThZrCu
_symmetry_space_group_name_H-M 'I 4 m m'
_symmetry_Int_Tables_number 107
_symmetry_space_group_name_Hall 'I 4 -2'
_cell_length_a 3.395
_cell_length_b 3.395
_cell_length_c 11.917
_cell_angle_alpha 90.00
_cell_angle_beta 90.00
_cell_angle_gamma 90.00
loop_
_atom_site_label
_atom_site_type_symbol
_atom_site_fract_x
_atom_site_fract_y
_atom_site_fract_z
_atom_site_occupancy
Th1 Th 0.000 0.000 0.000 1
Zr1 Zr 0.000 0.000 0.300 1
Cu1 Cu 0.000 0.000 0.678 1